VASP calculation (PBE) on crystalline NiBiH4C6S6N7 at its relaxed geometry.

```
data_NiBiH4C6S6N7
_cell_length_a 8.450
_cell_length_b 8.645
_cell_length_c 11.828
_cell_angle_alpha 97.25
_cell_angle_beta 91.23
_cell_angle_gamma 91.56
_space_group_name_H-M_alt 'P -1'
_space_group_IT_number 2
_space_group_name_Hall '-P 1'
loop_
_atom_site_label
_atom_site_type_symbol
_atom_site_fract_x
_atom_site_fract_y
_atom_site_fract_z
Ni1 Ni 0.000 0.000 0.000
Ni2 Ni 0.500 0.500 0.500
Bi1 Bi 0.000 0.000 0.500
Bi2 Bi 0.500 0.500 0.000
H1 H 0.027 0.350 0.336
H2 H 0.054 0.233 0.210
H3 H 0.087 0.631 0.782
H4 H 0.104 0.426 0.222
C1 C 0.168 0.642 0.456
C2 C 0.175 0.718 0.091
C3 C 0.175 0.985 0.763
C4 C 0.329 0.177 0.392
C5 C 0.331 0.165 0.076
C6 C 0.340 0.436 0.734
S1 S 0.022 0.325 0.557
S2 S 0.240 0.013 0.336
S3 S 0.241 0.402 0.847
S4 S 0.272 0.987 0.645
S5 S 0.278 0.609 0.168
S6 S 0.481 0.787 0.907
N1 N 0.024 0.344 0.247
N2 N 0.103 0.800 0.038
N3 N 0.104 0.978 0.847
N4 N 0.195 0.130 0.067
N5 N 0.302 0.611 0.464
N6 N 0.394 0.296 0.428
N7 N 0.407 0.462 0.652
```

---

VASP calculation (PBE) on crystalline Hf4HgBiC2 at its relaxed geometry.

```
data_Hf4HgBiC2
_cell_length_a 3.3650
_cell_length_b 3.3650
_cell_length_c 14.6003
_cell_angle_alpha 90.00
_cell_angle_beta 90.00
_cell_angle_gamma 120.00
_space_group_name_H-M_alt 'P -6 m 2'
_space_group_IT_number 187
_space_group_name_Hall 'P -6 2'
loop_
_atom_site_label
_atom_site_type_symbol
_atom_site_fract_x
_atom_site_fract_y
_atom_site_fract_z
Hf1 Hf 0.0000 0.0000 0.1663
Hf2 Hf 0.3333 0.6667 0.3315
Hg1 Hg 0.3333 0.6667 0.0000
Bi1 Bi 0.0000 0.0000 0.5000
C1 C 0.6667 0.3333 0.2493
```

---

VASP calculation (PBE) on crystalline Lu4Hf2Bi3C3 at its relaxed geometry.

```
data_Lu4Hf2Bi3C3
_cell_length_a 10.579
_cell_length_b 6.114
_cell_length_c 15.325
_cell_angle_alpha 90.00
_cell_angle_beta 103.50
_cell_angle_gamma 90.00
_space_group_name_H-M_alt 'C 1 2/c 1'
_space_group_IT_number 15
_space_group_name_Hall '-C 2yc'
loop_
_atom_site_label
_atom_site_type_symbol
_atom_site_fract_x
_atom_site_fract_y
_atom_site_fract_z
Lu1 Lu 0.113 0.078 0.086
Lu2 Lu 0.218 0.087 0.414
Hf1 Hf 0.060 0.414 0.923
Bi1 Bi 0.000 0.095 0.750
Bi2 Bi 0.160 0.425 0.249
C1 C 0.078 0.265 0.500
C2 C 0.250 0.250 0.000
```

---

What energy values result from the calculations? In sequence: -6.359, -8.432, -7.102 eV/atom.
What total magnetization values result from the calculations? In sequence: 0.08, 0.00, 0.00 μB per atom.